[1]
The following is a DFT calculation (PBE) of Cd6AsP2 after structural relaxation.

## Properties
ΔE_f (meV per atom): 48

Cell lengths 14.2692, 4.5232, 9.2468 Å; angles 90.00, 129.92, 90.00 degrees
Last column: nearest neighbours and their distance in Å.
Space group C2/m (No. 12)
One atom of each set of equivalent atoms:
Cd (0.0623, 0.0000, 0.3770)  2 P 2.67-2.68
Cd (0.1375, 0.5000, 0.2596)  1 P 2.82, 2 As 2.95, 2 Cd 2.99
Cd (0.2327, 0.0000, 0.1040)  3 P 2.57-2.84, 1 As 2.80
As (0.0000, 0.0000, 0.0000)  8 Cd 2.80-2.99
P (0.1647, 0.0000, 0.7402)  6 Cd 2.57-2.84


[2]
The following is a DFT calculation (PBE) of HRhO2 after structural relaxation.

## Properties
DFT total energy (eV for the cell shown): -21.0

Cell lengths 2.7527, 2.7527, 6.3623 Å; angles 90.00, 90.00, 120.00 degrees
Last column: nearest neighbours and their distance in Å.
Space group P3m1 (No. 156)
One atom of each set of equivalent atoms:
H (0.0000, 0.0000, 0.0000)  3 O 1.60
Rh (0.3333, 0.6667, 0.6606)  4 O 1.95-2.00
O (0.3333, 0.6667, 0.9671)  3 H 1.60
O (0.6667, 0.3333, 0.4699)  3 Rh 2.00


[3]
The following is a DFT calculation (PBE) of SiIrRh2 after structural relaxation.

## Properties
E_form (uncorrected) (meV/atom): -314

Cell lengths 9.1639, 2.7710, 4.5570 Å; angles 90.00, 107.57, 90.00 degrees
Last column: nearest neighbours and their distance in Å.
Space group C2/m (No. 12)
One atom of each set of equivalent atoms:
Si (0.0000, 0.0000, 0.0000)  4 Rh 2.47, 4 Ir 2.67
Ir (0.0000, 0.5000, 0.5000)  4 Si 2.67, 6 Rh 2.69-2.79, 2 Ir 2.77
Rh (0.2276, 0.5000, 0.2391)  2 Si 2.47, 4 Rh 2.67-2.72, 1 Ir 2.69


[4]
The following is a DFT calculation (PBE) of BaOs2S after structural relaxation.

## Properties
E_form (uncorrected) (meV/atom): 218

Cell lengths 4.9769, 4.9769, 15.8927 Å; angles 90.00, 90.00, 90.00 degrees
Last column: nearest neighbours and their distance in Å.
Space group I-42d (No. 122)
One atom of each set of equivalent atoms:
Ba (0.0000, 0.0000, 0.0000)  8 Os 3.36-3.47, 4 S 3.52
Os (0.0154, 0.7500, 0.6250)  2 S 2.35, 2 Os 2.49
S (0.0000, 0.0000, 0.5000)  4 Os 2.35


[5]
The following is a DFT calculation (PBE) of MgCuO3 after structural relaxation.

## Properties
E_form (uncorrected) (meV/atom): -738

Cell lengths 3.7317, 3.7317, 3.7317 Å; angles 90.00, 90.00, 90.00 degrees
Last column: nearest neighbours and their distance in Å.
Space group Pm-3m (No. 221)
One atom of each set of equivalent atoms:
Mg (0.0000, 0.0000, 0.0000)  12 O 2.64
Cu (0.5000, 0.5000, 0.5000)  6 O 1.87
O (0.0000, 0.5000, 0.5000)  2 Cu 1.87


[6]
The following is a DFT calculation (PBE) of LaTmCd6 after structural relaxation.

## Properties
ΔE_f (meV per atom): -269

Cell lengths 4.9253, 7.2978, 11.0703 Å; angles 90.00, 90.00, 90.00 degrees
Last column: nearest neighbours and their distance in Å.
Space group Amm2 (No. 38)
One atom of each set of equivalent atoms:
La (0.0000, 0.0000, 0.0000)  10 Cd 3.28-3.37
Tm (0.5000, 0.0000, 0.7262)  10 Cd 3.20-3.35
Cd (0.0000, 0.0000, 0.5420)  8 Cd 3.05-3.41, 2 Tm 3.20
Cd (0.0000, 0.2167, 0.2691)  6 Cd 3.03-3.26, 2 Tm 3.25, 2 La 3.29-3.37
Cd (0.5000, 0.0000, 0.1969)  6 Cd 3.03-3.26, 2 La 3.29
Cd (0.5000, 0.2100, 0.4567)  7 Cd 3.05-3.40, 2 La 3.28, 2 Tm 3.31-3.35


[7]
The following is a DFT calculation (PBE) of Pr2ZnGe4Rh3 after structural relaxation.

## Properties
ΔE_f (meV per atom): -754

Cell lengths 4.3064, 4.3064, 10.2142 Å; angles 90.00, 90.00, 90.00 degrees
Last column: nearest neighbours and their distance in Å.
Space group P-4m2 (No. 115)
One atom of each set of equivalent atoms:
Pr (0.0000, 0.5000, 0.2436)  8 Ge 3.28-3.29, 6 Rh 3.29-3.39, 2 Zn 3.39
Zn (0.0000, 0.0000, 0.5000)  4 Ge 2.57
Ge (0.0000, 0.0000, 0.0000)  4 Rh 2.49
Ge (0.0000, 0.5000, 0.6379)  3 Rh 2.45-2.57, 2 Zn 2.57
Ge (0.5000, 0.5000, 0.0000)  4 Rh 2.49
Rh (0.0000, 0.5000, 0.8781)  5 Ge 2.45-2.49
Rh (0.5000, 0.5000, 0.5000)  4 Ge 2.57